The following is a PBE-GGA calculation of an optimized crystal structure of SrEu3P, from the Alexandria database.

a b c (Å): 5.8552 5.8552 5.8552
angles (deg): 90.00 90.00 90.00
Last column: nearest neighbours and their distance in Å.
Atoms (fractional coordinates):
Sr 0.0000 0.0000 0.0000  12 Eu 4.14
Eu 0.0000 0.5000 0.5000  2 P 2.93
Eu 0.5000 0.0000 0.5000  2 P 2.93
Eu 0.5000 0.5000 0.0000  2 P 2.93
P 0.5000 0.5000 0.5000  6 Eu 2.93

Results
E, eV per cell: -40.3
Space-group type: Pm-3m, No. 221
Density, g cm⁻³: 4.75
Spin magnetization, Bohr magnetons per cell: 22.8